CaPm2VO6 | PBE with a Hubbard U | optimized geometry

Results
magnetic moment: 0.10 μB per atom
E: -7.672 eV per atom

Unit cell a=5.4317 b=5.4317 c=5.1741 alpha=90.00 beta=90.00 gamma=90.00
With the nearest neighbours (Å) after each atom.
Space group P4mm (No. 99)
Asymmetric unit:
Ca: 0.0000 0.0000 0.0000 (multiplicity 1)  5 O 2.21-2.25
Pm: 0.0000 0.5000 0.4246 (multiplicity 2)  4 O 2.32
V: 0.5000 0.5000 0.0308 (multiplicity 1)  5 O 1.78-1.93
O: 0.0000 0.0000 0.5735 (multiplicity 1)  1 Ca 2.21
O: 0.2683 0.2683 0.1739 (multiplicity 4)  1 V 1.93
O: 0.5000 0.5000 0.6872 (multiplicity 1)  1 V 1.78